Below is an optimized crystal structure of ZnGaSbTe2, with properties calculated at the PBE-GGA level.

Calculated values
V in Å³ per cell: 157.42
Crystal system: tetragonal
N(E_F) in states/eV per atom: 1.01
Raw formation energy in eV/atom: 0.527
Distance to the lowest polymorph of the same formula in meV per atom: 169.9

Lattice parameters (Å, degrees): 5.4462 5.4462 5.3074 90.00 90.00 90.00
Fractional coordinates of all 5 atoms:
Sb1 0.0000 0.0000 0.5000
Zn1 0.5000 0.5000 0.5000
Te1 0.0000 0.5000 0.0000
Te2 0.5000 0.0000 0.0000
Ga1 0.0000 0.0000 0.0000